Here is a geometry-optimized YSb2Os structure from the Alexandria database. Energies are from PBE-GGA.

abc: 9.675 9.675 9.675
angles: 20.46 20.46 20.46
Element x y z (fractional)
Y (0.000, 0.000, 0.000)
Sb (0.525, 0.525, 0.525)
Sb (0.756, 0.756, 0.756)
Os (0.256, 0.256, 0.256)

Computed properties:
ΔE_f (raw)	0.4	eV per formula unit
excess energy over the best structure of this formula in the dataset	414	meV/atom
symmetry	R3m
M_tot	0.0	Bohr magnetons per cell